Model 1:
Computed, not measured: TlP2Cl after structural relaxation at the PBE-GGA level of DFT.

Summary:
DOS at the Fermi energy: 0.39 states/eV/atom
SG: P4mm (99)

Geometry as extended XYZ:
```
4
Lattice="-1.663 1.529 -2.460 -2.471 -2.228 0.285 -3.875 5.033 5.750" Properties=species:S:1:pos:R:3 pbc="T T T"
Cl -5.251 3.787 3.638
P -0.496 0.644 0.736
P -2.331 -0.007 -0.696
Tl -1.869 2.427 2.773
```


Model 2:
Computed, not measured: TlP2Cl after structural relaxation at the PBE-GGA level of DFT.

Summary:
DOS at the Fermi energy: 0.49 states/eV/atom
SG: Cmmm (65)

Geometry as extended XYZ:
```
4
Lattice="-1.050 4.112 -5.442 -3.795 -2.997 4.924 0.361 2.370 1.720" Properties=species:S:1:pos:R:3 pbc="T T T"
Cl -1.717 -0.314 3.322
P 0.000 0.000 0.000
P -2.422 0.558 -0.259
Tl -0.344 3.241 -1.861
```


Model 3:
Computed, not measured: TlP2Cl after structural relaxation at the PBE-GGA level of DFT.

Summary:
SG: P4/mmm (123)

Geometry as extended XYZ:
```
4
Lattice="-1.622 -0.461 4.812 -1.366 -4.825 -0.923 5.355 -1.828 1.630" Properties=species:S:1:pos:R:3 pbc="T T T"
Cl 2.522 -4.014 3.166
P 0.464 -0.158 0.141
P 2.214 -0.756 0.674
Tl -0.155 -3.100 2.352
```


Model 4:
Computed, not measured: TlP2Cl after structural relaxation at the PBE-GGA level of DFT.

Summary:
DOS at the Fermi energy: 0.41 states/eV/atom
SG: I-42d (122)

Geometry as extended XYZ:
```
8
Lattice="-1.824 -3.544 0.023 1.949 -1.025 -3.323 11.701 -8.217 7.008" Properties=species:S:1:pos:R:3 pbc="T T T"
P 2.223 -4.021 1.349
P 3.722 -3.515 -0.319
P 9.030 -7.985 3.665
P 8.678 -10.052 2.722
Tl 0.000 0.000 0.000
Tl 4.970 -7.023 2.691
Cl 0.063 -2.285 -1.650
Cl 6.856 -5.763 1.018
```


model 1 takes first place; second place is 110 meV/atom up.